{"formula": "La3PtAu3", "functional": "PBE-GGA", "state": "optimized geometry", "final_energy_ev_per_atom": -5.283, "space_group": "C2/m (12)", "magmom_total_mub_per_cell": 0.00, "delta_e_f_kj_per_mol_atoms": -87.2, "cell": [[4.078, 0.000, 0.614], [1.992, 5.578, 0.615], [-0.344, 0.274, 16.122]], "species": ["La", "La", "La", "La", "La", "La", "Pt", "Pt", "Au", "Au", "Au", "Au", "Au", "Au"], "fractional_positions": [[0.545, 0.302, 0.607], [0.455, 0.698, 0.393], [0.266, 0.235, 0.234], [0.734, 0.765, 0.766], [0.397, 0.282, 0.923], [0.603, 0.718, 0.077], [0.772, 0.093, 0.363], [0.228, 0.907, 0.637], [0.869, 0.721, 0.542], [0.131, 0.279, 0.458], [0.119, 0.837, 0.925], [0.881, 0.163, 0.075], [0.993, 0.787, 0.227], [0.007, 0.213, 0.773]]}